# 1
# PaSi2OsW

An optimized crystal structure of PaSi2OsW (PBE, Alexandria).

Cell: 5.831 5.831 5.831 Å, 138.40 138.40 60.29°
Fractional coordinates of all 5 atoms:
Pa: 0.000 0.000 0.000
Si: 0.382 0.382 0.000
Si: 0.618 0.618 0.000
Os: 0.750 0.250 0.500
W: 0.250 0.750 0.500

Computed properties:
* calculated density: 12.7 g/cm³
* uncorrected formation energy: -9.249 kcal/mol of atoms

***

# 2
# TbDy2Y5Th

An optimized crystal structure of TbDy2Y5Th (PBE, Alexandria).

Cell: 11.164 11.164 9.735 Å, 90.00 90.00 150.30°
Fractional coordinates of all 18 atoms:
Tb: 0.189 0.811 0.500
Tb: 0.811 0.189 0.000
Dy: 0.115 0.885 0.811
Dy: 0.129 0.871 0.195
Dy: 0.871 0.129 0.695
Dy: 0.885 0.115 0.311
Y: 0.014 0.986 0.498
Y: 0.271 0.729 0.809
Y: 0.304 0.696 0.197
Y: 0.395 0.605 0.523
Y: 0.470 0.530 0.224
Y: 0.530 0.470 0.724
Y: 0.605 0.395 0.023
Y: 0.696 0.304 0.697
Y: 0.729 0.271 0.309
Y: 0.986 0.014 0.998
Th: 0.405 0.595 0.904
Th: 0.595 0.405 0.404

Computed properties:
* calculated density: 6.4 g/cm³
* calculated total energy: -104.24 eV/cell

***

# 3
# Rb2SnI6

An optimized crystal structure of Rb2SnI6 (PBE, Alexandria).

Cell: 8.063 8.063 15.481 Å, 90.00 90.00 90.00°
Fractional coordinates of all 18 atoms:
Rb: 0.000 0.000 0.165
Rb: 0.000 0.000 0.835
Rb: 0.500 0.500 0.335
Rb: 0.500 0.500 0.665
Sn: 0.000 0.000 0.500
Sn: 0.500 0.500 0.000
I: 0.178 0.178 0.365
I: 0.178 0.178 0.635
I: 0.244 0.244 0.000
I: 0.256 0.744 0.500
I: 0.322 0.678 0.135
I: 0.322 0.678 0.865
I: 0.678 0.322 0.135
I: 0.678 0.322 0.865
I: 0.744 0.256 0.500
I: 0.756 0.756 0.000
I: 0.822 0.822 0.365
I: 0.822 0.822 0.635

Computed properties:
* calculated density: 3.5 g/cm³
* uncorrected formation energy: -18.122 kcal/mol of atoms

***

# 4
# Zn2CoSn

An optimized crystal structure of Zn2CoSn (PBE, Alexandria).

Cell: 9.667 9.667 9.667 Å, 157.14 157.14 32.55°
Fractional coordinates of all 8 atoms:
Zn: 0.082 0.625 0.957
Zn: 0.375 0.332 0.457
Zn: 0.668 0.125 0.043
Zn: 0.875 0.918 0.543
Co: 0.000 0.000 0.000
Co: 0.750 0.250 0.500
Sn: 0.250 0.750 0.500
Sn: 0.500 0.500 0.000

Computed properties:
* calculated density: 7.5 g/cm³
* calculated total energy: -25.30 eV/cell

***

# 5
# Ti2Ga2Pd7

An optimized crystal structure of Ti2Ga2Pd7 (PBE, Alexandria).

Cell: 5.246 5.246 7.265 Å, 91.52 91.52 118.08°
Fractional coordinates of all 11 atoms:
Ti: 0.243 0.757 0.000
Ti: 0.757 0.243 0.000
Ga: 0.304 0.304 0.817
Ga: 0.696 0.696 0.183
Pd: 0.088 0.634 0.332
Pd: 0.209 0.209 0.162
Pd: 0.366 0.912 0.668
Pd: 0.500 0.500 0.500
Pd: 0.634 0.088 0.332
Pd: 0.791 0.791 0.838
Pd: 0.912 0.366 0.668

Computed properties:
* calculated density: 9.2 g/cm³
* calculated total energy: -63.01 eV/cell

***

# 6
# SrAg2Rh

An optimized crystal structure of SrAg2Rh (PBE, Alexandria).

Cell: 10.579 10.579 10.579 Å, 156.71 156.71 33.17°
Fractional coordinates of all 8 atoms:
Sr: 0.000 0.000 0.000
Sr: 0.750 0.250 0.500
Ag: 0.178 0.625 0.053
Ag: 0.375 0.428 0.553
Ag: 0.572 0.125 0.947
Ag: 0.875 0.822 0.447
Rh: 0.250 0.750 0.500
Rh: 0.500 0.500 0.000

Computed properties:
* calculated density: 7.3 g/cm³
* calculated total energy: -27.95 eV/cell

***

- Which of these has the highest calculated density?
  PaSi2OsW

***

- calculated density of number 1 (PaSi2OsW)?
  12.7 g/cm³

***

- Among the records above, which one has the lowest calculated density?
  Rb2SnI6